Entry from Alexandria: crystalline TbHoCSe at its relaxed geometry (PBE-GGA).

```
TbHoCSe
1.0
3.7350 -0.0004 -0.0001
-1.8670 3.2348 -0.0003
-1.8670 -1.0784 6.7318
Tb Ho C Se
1 1 1 1
Cartesian
0.3530 -0.2368 4.4984
-1.5147 2.9985 0.4546
-1.5137 0.8408 5.8700
2.2204 0.8419 2.4356
```

Summary:
For the density of states at the Fermi level, the calculation gives 0.040 states/eV/cell. The calculation puts the formation energy from raw total energies at -1.105 eV per atom. The total energy is -6.584 eV per atom. The total magnetization comes out at 0.000 μB per cell.



Entry from Alexandria: crystalline Zr2SbAs at its relaxed geometry (PBE-GGA).

```
Zr2SbAs
1.0
0.3953 3.0068 3.8722
-0.1279 4.8739 -0.6480
-3.9020 2.5811 1.5177
Sb As Zr
1 1 2
Cartesian
-1.8173 5.2309 2.3710
0.0000 0.0000 0.0000
-0.9086 2.6155 1.1855
-2.7259 7.8464 3.5565
```

Summary:
For the density of states at the Fermi level, the calculation gives 6.309 states/eV/cell. The calculation puts the formation energy from raw total energies at -0.617 eV per atom. The total energy is -7.084 eV per atom. The total magnetization comes out at 0.000 μB per cell.



Entry from Alexandria: crystalline Ba2LaTe at its relaxed geometry (PBE-GGA).

```
Ba2LaTe
1.0
-5.9701 -8.9637 -3.8302
-1.5600 -3.5550 10.7513
-6.4321 -4.5581 3.6361
Te Ba La
2 4 2
Cartesian
-3.7651 -6.2594 3.4605
-5.8786 -7.1862 8.9239
-4.9040 -6.2399 0.2634
-3.9596 -5.4282 6.7454
-7.8125 -8.4884 6.4576
-11.2482 -13.9971 7.6479
0.0000 0.0000 0.0000
-8.0836 -9.8906 1.6332
```

Summary:
For the density of states at the Fermi level, the calculation gives 12.788 states/eV/cell. The calculation puts the formation energy from raw total energies at -0.426 eV per atom. The total energy is -3.405 eV per atom. The total magnetization comes out at 1.139 μB per cell.



- What is the formation energy from raw total energies in the third record?
  -0.426 eV per atom



- The lowest formation energy from raw total energies belongs to which entry?
  TbHoCSe



Please write out number 2 again, unchanged.
Entry from Alexandria: crystalline Zr2SbAs at its relaxed geometry (PBE-GGA).

```
Zr2SbAs
1.0
0.3953 3.0068 3.8722
-0.1279 4.8739 -0.6480
-3.9020 2.5811 1.5177
Sb As Zr
1 1 2
Cartesian
-1.8173 5.2309 2.3710
0.0000 0.0000 0.0000
-0.9086 2.6155 1.1855
-2.7259 7.8464 3.5565
```

Summary:
For the density of states at the Fermi level, the calculation gives 6.309 states/eV/cell. The calculation puts the formation energy from raw total energies at -0.617 eV per atom. The total energy is -7.084 eV per atom. The total magnetization comes out at 0.000 μB per cell.



- Which of these has the highest formation energy from raw total energies?
  Ba2LaTe